(1)
# MnMoW2

An optimized crystal structure of MnMoW2 (GGA-PBE, the Alexandria database).

Properties
ΔE_f: 0.096 eV/atom
Fermi-level density of states: 2.89 states/eV per cell
Total magnetization: 1.367 μB/cell

Cell lengths 3.1293, 3.1293, 6.1475 Å; angles 90.00, 90.00, 90.00 degrees
With the nearest neighbours (Å) after each atom.
Space group P4mm (No. 99)
Unique sites:
Mn 0.0000 0.0000 0.0000  4 W 2.66, 4 Mo 2.68
Mo 0.5000 0.5000 0.2448  4 Mn 2.68, 5 W 2.71-2.98
W 0.0000 0.0000 0.4999  4 Mo 2.71, 4 W 2.73
W 0.5000 0.5000 0.7608  4 Mn 2.66, 4 W 2.73, 1 Mo 2.98

***

(2)
# Mn2MoW2

An optimized crystal structure of Mn2MoW2 (GGA-PBE, the Alexandria database).

Properties
ΔE_f: 0.310 eV/atom
Fermi-level density of states: 11.12 states/eV per cell
Total magnetization: 0.000 μB/cell

Cell lengths 7.0302, 7.0302, 2.8816 Å; angles 90.00, 90.00, 90.00 degrees
With the nearest neighbours (Å) after each atom.
Space group P4/mbm (No. 127)
Unique sites:
Mn 0.1366 0.3634 0.0000  6 W 2.46-2.56, 1 Mn 2.72, 2 Mo 2.73
Mo 0.0000 0.0000 0.0000  4 Mn 2.73, 2 Mo 2.88, 8 W 3.00
W 0.1629 0.6629 0.5000  6 Mn 2.46-2.56